No. 1
# ScHgPb2 | Alexandria | PBEsol | optimized geometry
data_ScHgPb2
_space_group_name_H-M_alt 'P 1'
_space_group_IT_number 1
_cell_length_a 4.514
_cell_length_b 4.446
_cell_length_c 5.804
_cell_angle_alpha 112.52
_cell_angle_beta 112.88
_cell_angle_gamma 90.00
loop_
_space_group_symop_operation_xyz
'x,y,z'
loop_
_atom_site_label
_atom_site_fract_x
_atom_site_fract_y
_atom_site_fract_z
Pb1 0.749 0.749 0.498
Pb2 0.251 0.251 0.502
Sc1 0.500 0.000 0.000
Hg1 0.000 0.500 0.000
# Energy of formation from the pure elements ... -0.212 eV/atom
# VASP energy ... -4.00 eV per atom
# Crystal system ... orthorhombic
# Magnetization ... 0.0000 μB per atom



No. 2
# CaSi2Ni | Alexandria | PBEsol | optimized geometry
data_CaSi2Ni
_space_group_name_H-M_alt 'P 1'
_space_group_IT_number 1
_cell_length_a 3.556
_cell_length_b 3.526
_cell_length_c 5.665
_cell_angle_alpha 90.00
_cell_angle_beta 90.00
_cell_angle_gamma 90.00
loop_
_space_group_symop_operation_xyz
'x,y,z'
loop_
_atom_site_label
_atom_site_fract_x
_atom_site_fract_y
_atom_site_fract_z
Ca1 0.375 0.000 0.462
Ni1 0.375 0.500 0.943
Si1 0.875 0.000 0.904
Si2 0.875 0.500 0.191
# VASP energy ... -5.25 eV per atom
# Energy relative to the elements, uncorrected ... -304 meV per atom
# Crystal system ... orthorhombic
# Magnetization ... 0.0001 μB per atom



No. 3
# Mg2Tc | Alexandria | PBEsol | optimized geometry
data_Mg2Tc
_space_group_name_H-M_alt 'P 1'
_space_group_IT_number 1
_cell_length_a 2.868
_cell_length_b 2.868
_cell_length_c 14.426
_cell_angle_alpha 90.00
_cell_angle_beta 90.00
_cell_angle_gamma 120.00
loop_
_space_group_symop_operation_xyz
'x,y,z'
loop_
_atom_site_label
_atom_site_fract_x
_atom_site_fract_y
_atom_site_fract_z
Mg1 0.667 0.333 0.185
Mg2 0.667 0.333 0.815
Mg3 0.667 0.333 0.500
Mg4 0.000 0.000 0.000
Tc1 0.000 0.000 0.659
Tc2 0.000 0.000 0.341
# Energy of formation from the pure elements ... 0.329 eV/atom
# VASP energy ... -4.57 eV per atom
# Offset from the most stable computed form ... 161 meV per atom
# Crystal system ... hexagonal
# Magnetization ... 0.0001 μB per atom



No. 4
# Sc2ReSi | Alexandria | PBEsol | optimized geometry
data_Sc2ReSi
_space_group_name_H-M_alt 'P 1'
_space_group_IT_number 1
_cell_length_a 3.229
_cell_length_b 3.229
_cell_length_c 6.747
_cell_angle_alpha 90.00
_cell_angle_beta 90.00
_cell_angle_gamma 90.00
loop_
_space_group_symop_operation_xyz
'x,y,z'
loop_
_atom_site_label
_atom_site_fract_x
_atom_site_fract_y
_atom_site_fract_z
Re1 0.500 0.500 0.701
Sc1 0.000 0.000 0.960
Sc2 0.500 0.500 0.294
Si1 0.000 0.000 0.545
# VASP energy ... -8.39 eV per atom
# Energy relative to the elements, uncorrected ... -320 meV per atom
# Crystal system ... tetragonal
# Magnetization ... 0.3166 μB per atom



No. 5
# BaMnS3 | Alexandria | PBEsol | optimized geometry
data_BaMnS3
_space_group_name_H-M_alt 'P 1'
_space_group_IT_number 1
_cell_length_a 4.679
_cell_length_b 4.679
_cell_length_c 4.679
_cell_angle_alpha 90.00
_cell_angle_beta 90.00
_cell_angle_gamma 90.00
loop_
_space_group_symop_operation_xyz
'x,y,z'
loop_
_atom_site_label
_atom_site_fract_x
_atom_site_fract_y
_atom_site_fract_z
S1 0.000 0.500 0.000
S2 0.000 0.000 0.500
S3 0.500 0.000 0.000
Mn1 0.000 0.000 0.000
Ba1 0.500 0.500 0.500
# VASP energy ... -6.10 eV per atom
# Energy relative to the elements, uncorrected ... -1084 meV per atom
# Crystal system ... cubic
# Magnetization ... 0.7147 μB per atom



No. 6
# TiCu3 | Alexandria | PBEsol | optimized geometry
data_TiCu3
_space_group_name_H-M_alt 'P 1'
_space_group_IT_number 1
_cell_length_a 4.250
_cell_length_b 4.361
_cell_length_c 5.345
_cell_angle_alpha 90.00
_cell_angle_beta 90.00
_cell_angle_gamma 90.00
loop_
_space_group_symop_operation_xyz
'x,y,z'
loop_
_atom_site_label
_atom_site_fract_x
_atom_site_fract_y
_atom_site_fract_z
Ti1 0.500 0.660 0.500
Ti2 0.000 0.340 0.000
Cu1 0.000 0.833 0.254
Cu2 0.500 0.167 0.246
Cu3 0.500 0.681 0.000
Cu4 0.000 0.319 0.500
Cu5 0.500 0.167 0.754
Cu6 0.000 0.833 0.746
# Energy of formation from the pure elements ... -0.104 eV/atom
# VASP energy ... -5.43 eV per atom
# Crystal system ... orthorhombic
# Magnetization ... 0.0000 μB per atom